[1]
Compound: CaYTe2N
Source: Alexandria via LeMat-Bulk
Functional: PBE-GGA
Structure: relaxed

## Properties
Calculated total energy (eV for the cell shown): -23.19
Uncorrected formation energy (eV/atom): -0.023
Total magnetic moment (μB/f.u.): 2.040

Structure (CIF):
```
data_CaYTe2N
_space_group_name_H-M_alt 'P 4/m m m'
_space_group_IT_number 123
_space_group_name_Hall '-P 4 2'
_cell_length_a 5.8090
_cell_length_b 5.8090
_cell_length_c 4.3551
_cell_angle_alpha 90.00
_cell_angle_beta 90.00
_cell_angle_gamma 90.00
loop_
_atom_site_label
_atom_site_fract_x
_atom_site_fract_y
_atom_site_fract_z
Ca1 0.0000 0.0000 0.0000
Y1 0.5000 0.5000 0.5000
Te1 0.0000 0.5000 0.0000
N1 0.0000 0.0000 0.5000
```

[2]
Compound: LiICl3
Source: Alexandria via LeMat-Bulk
Functional: PBE-GGA
Structure: relaxed

## Properties
Calculated total energy (eV for the cell shown): -10.86
Uncorrected formation energy (eV/atom): -0.372
Total magnetic moment (μB/f.u.): 0.000

Structure (CIF):
```
data_LiICl3
_space_group_name_H-M_alt 'P m -3 m'
_space_group_IT_number 221
_space_group_name_Hall '-P 4 2 3'
_cell_length_a 4.8156
_cell_length_b 4.8156
_cell_length_c 4.8156
_cell_angle_alpha 90.00
_cell_angle_beta 90.00
_cell_angle_gamma 90.00
loop_
_atom_site_label
_atom_site_fract_x
_atom_site_fract_y
_atom_site_fract_z
Li1 0.0000 0.0000 0.0000
I1 0.5000 0.5000 0.5000
Cl1 0.0000 0.0000 0.5000
```

[3]
Compound: Rb2AlGa3Sn4
Source: Alexandria via LeMat-Bulk
Functional: PBE-GGA
Structure: relaxed

## Properties
Calculated total energy (eV for the cell shown): -32.06
Total magnetic moment (μB/f.u.): 0.000

Structure (CIF):
```
data_Rb2AlGa3Sn4
_space_group_name_H-M_alt 'P -4 m 2'
_space_group_IT_number 115
_cell_length_a 5.0061
_cell_length_b 5.0061
_cell_length_c 11.3491
_cell_angle_alpha 90.00
_cell_angle_beta 90.00
_cell_angle_gamma 90.00
loop_
_space_group_symop_operation_xyz
'x,y,z'
'y,-x,-z'
'-x,-y,z'
'-y,x,-z'
'-x,y,z'
'-y,-x,-z'
'x,-y,z'
'y,x,-z'
loop_
_atom_site_label
_atom_site_fract_x
_atom_site_fract_y
_atom_site_fract_z
Rb1 0.0000 0.5000 0.2465
Al1 0.5000 0.5000 0.0000
Ga1 0.0000 0.0000 0.0000
Ga2 0.0000 0.5000 0.6284
Sn1 0.0000 0.0000 0.5000
Sn2 0.0000 0.5000 0.8744
Sn3 0.5000 0.5000 0.5000
```

[4]
Compound: Rb2BaTl2
Source: Alexandria via LeMat-Bulk
Functional: PBE-GGA
Structure: relaxed

## Properties
Calculated total energy (eV for the cell shown): -17.56
Total magnetic moment (μB/f.u.): 0.723

Structure (CIF):
```
data_Rb2BaTl2
_space_group_name_H-M_alt 'P 4/m b m'
_space_group_IT_number 127
_space_group_name_Hall '-P 4 2ab'
_cell_length_a 8.9435
_cell_length_b 8.9435
_cell_length_c 6.4329
_cell_angle_alpha 90.00
_cell_angle_beta 90.00
_cell_angle_gamma 90.00
loop_
_atom_site_label
_atom_site_fract_x
_atom_site_fract_y
_atom_site_fract_z
Rb1 0.1722 0.3278 0.0000
Ba1 0.0000 0.0000 0.5000
Tl1 0.1179 0.6179 0.5000
```

[5]
Compound: Ba2GeAu
Source: Alexandria via LeMat-Bulk
Functional: PBE-GGA
Structure: relaxed

## Properties
Calculated total energy (eV for the cell shown): -28.13
Total magnetic moment (μB/f.u.): 0.000

Structure (CIF):
```
data_Ba2GeAu
_space_group_name_H-M_alt 'P 1 21/m 1'
_space_group_IT_number 11
_cell_length_a 6.4835
_cell_length_b 4.7958
_cell_length_c 9.3734
_cell_angle_alpha 90.00
_cell_angle_beta 108.01
_cell_angle_gamma 90.00
loop_
_space_group_symop_operation_xyz
'x,y,z'
'-x,-y,-z'
'-x,y+1/2,-z'
'x,-y+1/2,z'
loop_
_atom_site_label
_atom_site_fract_x
_atom_site_fract_y
_atom_site_fract_z
Ba1 0.2089 0.2500 0.4248
Ba2 0.2878 0.7500 0.0676
Ge1 0.3491 0.7500 0.7173
Au1 0.1717 0.2500 0.7778
```

[6]
Compound: InSiGe
Source: Alexandria via LeMat-Bulk
Functional: PBE-GGA
Structure: relaxed

## Properties
Calculated total energy (eV for the cell shown): -48.55
Uncorrected formation energy (eV/atom): 0.214
Total magnetic moment (μB/f.u.): 0.000

Structure (CIF):
```
data_InSiGe
_space_group_name_H-M_alt 'C 1 m 1'
_space_group_IT_number 8
_cell_length_a 10.8325
_cell_length_b 3.9118
_cell_length_c 7.6742
_cell_angle_alpha 90.00
_cell_angle_beta 123.86
_cell_angle_gamma 90.00
loop_
_space_group_symop_operation_xyz
'x,y,z'
'x,-y,z'
'x+1/2,y+1/2,z'
'x+1/2,-y+1/2,z'
loop_
_atom_site_label
_atom_site_fract_x
_atom_site_fract_y
_atom_site_fract_z
In1 0.0000 0.0000 0.0000
In2 0.0867 0.5000 0.7212
Si1 0.2059 0.5000 0.4109
Si2 0.4524 0.0000 0.2903
Ge1 0.2853 0.0000 0.6516
Ge2 0.2905 0.5000 0.1682
```

[7]
Compound: PuBeGaRu
Source: Alexandria via LeMat-Bulk
Functional: PBE-GGA
Structure: relaxed

## Properties
Calculated total energy (eV for the cell shown): -93.00
Total magnetic moment (μB/f.u.): 5.147

Structure (CIF):
```
data_PuBeGaRu
_space_group_name_H-M_alt 'R 3 m'
_space_group_IT_number 160
_space_group_name_Hall 'R 3 -2"'
_cell_length_a 4.0073
_cell_length_b 4.0073
_cell_length_c 15.1389
_cell_angle_alpha 90.00
_cell_angle_beta 90.00
_cell_angle_gamma 120.00
loop_
_atom_site_label
_atom_site_fract_x
_atom_site_fract_y
_atom_site_fract_z
Pu1 0.0000 0.0000 0.0000
Be1 0.0000 0.0000 0.7939
Ga1 0.0000 0.0000 0.2021
Ru1 0.0000 0.0000 0.4519
```

[8]
Compound: CaFeOs
Source: Alexandria via LeMat-Bulk
Functional: PBE-GGA
Structure: relaxed

## Properties
Calculated total energy (eV for the cell shown): -85.13
Total magnetic moment (μB/f.u.): 2.464

Structure (CIF):
```
data_CaFeOs
_space_group_name_H-M_alt 'I m m a'
_space_group_IT_number 74
_space_group_name_Hall '-I 2b 2'
_cell_length_a 5.1510
_cell_length_b 5.3218
_cell_length_c 7.5937
_cell_angle_alpha 90.00
_cell_angle_beta 90.00
_cell_angle_gamma 90.00
loop_
_atom_site_label
_atom_site_fract_x
_atom_site_fract_y
_atom_site_fract_z
Ca1 0.0000 0.2500 0.1236
Fe1 0.0000 0.0000 0.5000
Os1 0.2500 0.2500 0.7500
```

[9]
Compound: Tm2AgHPd6
Source: Alexandria via LeMat-Bulk
Functional: PBE-GGA
Structure: relaxed

## Properties
Calculated total energy (eV for the cell shown): -103.66
Total magnetic moment (μB/f.u.): 0.000

Structure (CIF):
```
data_Tm2AgHPd6
_space_group_name_H-M_alt 'C 1 m 1'
_space_group_IT_number 8
_cell_length_a 9.4964
_cell_length_b 5.7131
_cell_length_c 6.9111
_cell_angle_alpha 90.00
_cell_angle_beta 114.27
_cell_angle_gamma 90.00
loop_
_space_group_symop_operation_xyz
'x,y,z'
'x,-y,z'
'x+1/2,y+1/2,z'
'x+1/2,-y+1/2,z'
loop_
_atom_site_label
_atom_site_fract_x
_atom_site_fract_y
_atom_site_fract_z
Tm1 0.0000 0.0000 0.0000
Tm2 0.0299 0.5000 0.3998
Ag1 0.2649 0.5000 0.1999
H1 0.2647 0.0000 0.7008
Pd1 0.0644 0.0000 0.4534
Pd2 0.1855 0.2549 0.8330
Pd3 0.3444 0.2548 0.5668
Pd4 0.4655 0.0000 0.9463
```

[10]
Compound: Tb2Co3B12Ru
Source: Alexandria via LeMat-Bulk
Functional: PBE-GGA
Structure: relaxed

## Properties
Calculated total energy (eV for the cell shown): -358.44
Total magnetic moment (μB/f.u.): 2.290

Structure (CIF):
```
data_Tb2Co3B12Ru
_space_group_name_H-M_alt 'R -3 m'
_space_group_IT_number 166
_space_group_name_Hall '-R 3 2"'
_cell_length_a 5.3270
_cell_length_b 5.3270
_cell_length_c 23.1886
_cell_angle_alpha 90.00
_cell_angle_beta 90.00
_cell_angle_gamma 120.00
loop_
_atom_site_label
_atom_site_fract_x
_atom_site_fract_y
_atom_site_fract_z
Tb1 0.0000 0.0000 0.1378
Co1 0.0000 0.5000 0.0000
B1 0.0893 0.5446 0.0885
B2 0.1065 0.2130 0.7362
Ru1 0.0000 0.0000 0.5000
```

[11]
Compound: CaScRuPt2
Source: Alexandria via LeMat-Bulk
Functional: PBE-GGA
Structure: relaxed

## Properties
Calculated total energy (eV for the cell shown): -27.42
Total magnetic moment (μB/f.u.): 0.000

Structure (CIF):
```
data_CaScRuPt2
_space_group_name_H-M_alt 'P 4/m m m'
_space_group_IT_number 123
_space_group_name_Hall '-P 4 2'
_cell_length_a 4.9309
_cell_length_b 4.9309
_cell_length_c 4.8037
_cell_angle_alpha 90.00
_cell_angle_beta 90.00
_cell_angle_gamma 90.00
loop_
_atom_site_label
_atom_site_fract_x
_atom_site_fract_y
_atom_site_fract_z
Ca1 0.0000 0.0000 0.0000
Sc1 0.5000 0.5000 0.0000
Ru1 0.0000 0.0000 0.5000
Pt1 0.0000 0.5000 0.5000
```

[12]
Compound: CsY2SiAu
Source: Alexandria via LeMat-Bulk
Functional: PBE-GGA
Structure: relaxed

## Properties
Calculated total energy (eV for the cell shown): -21.64
Uncorrected formation energy (eV/atom): 0.168
Total magnetic moment (μB/f.u.): 0.000

Structure (CIF):
```
data_CsY2SiAu
_space_group_name_H-M_alt 'P 4/m m m'
_space_group_IT_number 123
_space_group_name_Hall '-P 4 2'
_cell_length_a 5.5868
_cell_length_b 5.5868
_cell_length_c 5.0291
_cell_angle_alpha 90.00
_cell_angle_beta 90.00
_cell_angle_gamma 90.00
loop_
_atom_site_label
_atom_site_fract_x
_atom_site_fract_y
_atom_site_fract_z
Cs1 0.0000 0.0000 0.0000
Y1 0.0000 0.5000 0.5000
Si1 0.5000 0.5000 0.5000
Au1 0.5000 0.5000 0.0000
```